A relaxed structure of Hg5C4. Source: the Alexandria database, functional GGA-PBE.

a b c (Å): 8.242 8.242 5.515
angles (deg): 90.00 90.00 120.00
Positions (direct):
C 0.000 0.000 0.000
C 0.000 0.000 0.500
C 0.000 0.506 0.250
C 0.494 0.494 0.250
C 0.506 0.000 0.250
C 0.000 0.494 0.750
C 0.506 0.506 0.750
C 0.494 0.000 0.750
Hg 0.000 0.763 0.250
Hg 0.237 0.237 0.250
Hg 0.763 0.000 0.250
Hg 0.000 0.237 0.750
Hg 0.763 0.763 0.750
Hg 0.237 0.000 0.750
Hg 0.667 0.333 0.000
Hg 0.333 0.667 0.500
Hg 0.333 0.667 0.000
Hg 0.667 0.333 0.500

Calculated values
ΔH_f (0 K) in meV/atom: 2168.4
DOS(E_F) in states/eV/atom: 0.670
Raw total energy in eV/atom: -2.10
E above lowest polymorph in eV per atom: 0.927
Space-group type: P6_3/mcm (193)